This record from Alexandria describes crystalline HoErZnSn at its relaxed geometry. The functional is PBE.

```
data_HoErZnSn
_cell_length_a 5.1502
_cell_length_b 5.1502
_cell_length_c 5.1502
_cell_angle_alpha 60.00
_cell_angle_beta 60.00
_cell_angle_gamma 60.00
_symmetry_space_group_name_H-M 'P 1'
_symmetry_Int_Tables_number 1
loop_
_symmetry_equiv_pos_as_xyz
'x,y,z'
loop_
_atom_site_label
_atom_site_fract_x
_atom_site_fract_y
_atom_site_fract_z
_atom_site_occupancy
Zn1 0.7500 0.7500 0.7500 1
Ho1 0.0000 0.0000 0.0000 1
Sn1 0.2500 0.2500 0.2500 1
Er1 0.5000 0.5000 0.5000 1
```

Values from the calculation:
Space group ... F-43m (216)
Final energy ... -4.086 eV/atom
V ... 96.6 Å³/f.u.
DFT formation energy ... -0.4820 eV/atom